[1]
BeCd3Rh: optimized geometry, PBE-GGA.

Summary:
- Raw total energy: -0.0739 Ha/atom
- D(E_F): 0.450 states/eV/atom
- Space group: Pm-3m, No. 221
- Excess energy over the best structure of this formula in the dataset: 207.0 meV per atom
- Mass density: 5.487 g/cm³

Unit cell a=5.142 b=5.142 c=5.142 alpha=90.00 beta=90.00 gamma=90.00
Positions (direct):
Be: 0.000 0.000 0.000
Cd: 0.000 0.500 0.500
Cd: 0.500 0.000 0.500
Cd: 0.500 0.500 0.000
Rh: 0.500 0.500 0.500



[2]
BeCd2Rh: optimized geometry, PBE-GGA.

Summary:
- Raw total energy: -0.1129 Ha/atom
- D(E_F): 0.402 states/eV/atom
- Space group: P2/m, No. 10
- Mass density: 8.714 g/cm³

Unit cell a=2.975 b=4.164 c=5.336 alpha=90.00 beta=103.87 gamma=90.00
Positions (direct):
Be: 0.000 0.000 0.000
Cd: 0.386 0.500 0.240
Cd: 0.614 0.500 0.760
Rh: 0.000 0.000 0.500



[3]
BeCd2Rh: optimized geometry, PBE-GGA.

Summary:
- Raw total energy: -0.1159 Ha/atom
- D(E_F): 0.425 states/eV/atom
- Space group: I-4m2, No. 119
- Mass density: 8.776 g/cm³

Unit cell a=4.997 b=4.997 c=4.997 alpha=133.90 beta=133.90 gamma=67.24
Positions (direct):
Be: 0.000 0.000 0.000
Cd: 0.250 0.750 0.500
Cd: 0.500 0.500 0.000
Rh: 0.750 0.250 0.500



[4]
Be2Cd2Rh: optimized geometry, PBE-GGA.

Summary:
- Raw total energy: -0.1041 Ha/atom
- D(E_F): 0.779 states/eV/atom
- Space group: I4/mmm, No. 139
- Excess energy over the best structure of this formula in the dataset: 404.9 meV per atom
- Mass density: 7.543 g/cm³

Unit cell a=5.971 b=5.971 c=5.971 alpha=143.14 beta=143.14 gamma=53.12
Positions (direct):
Be: 0.091 0.091 0.000
Be: 0.909 0.909 0.000
Cd: 0.250 0.750 0.500
Cd: 0.750 0.250 0.500
Rh: 0.500 0.500 0.000



[5]
BeCd2Rh: optimized geometry, PBE-GGA.

Summary:
- Raw total energy: -0.1072 Ha/atom
- D(E_F): 0.668 states/eV/atom
- Space group: R-3m, No. 166
- Mass density: 8.613 g/cm³

Unit cell a=8.857 b=8.857 c=8.857 alpha=19.09 beta=19.09 gamma=19.09
Positions (direct):
Be: 0.000 0.000 0.000
Cd: 0.254 0.254 0.254
Cd: 0.746 0.746 0.746
Rh: 0.500 0.500 0.500



[6]
BeCdRh2: optimized geometry, PBE-GGA.

Summary:
- Raw total energy: -0.1643 Ha/atom
- D(E_F): 0.952 states/eV/atom
- Space group: I-42d, No. 122
- Mass density: 8.249 g/cm³

Unit cell a=8.895 b=8.895 c=8.895 alpha=154.34 beta=154.34 gamma=36.60
Positions (direct):
Be: 0.000 0.000 0.000
Be: 0.750 0.250 0.500
Cd: 0.250 0.750 0.500
Cd: 0.500 0.500 0.000
Rh: 0.061 0.625 0.936
Rh: 0.375 0.311 0.436
Rh: 0.689 0.125 0.064
Rh: 0.875 0.939 0.564